Record 1
Entry from the Alexandria database: a relaxed U3Se5O crystal (GGA-PBE).

a = 7.6698 Å, b = 7.6698 Å, c = 8.9886 Å
α = 75.93°, β = 75.93°, γ = 76.74°
Closest atoms and distances in Å follow each position.
Fractional coordinates of all 18 atoms:
U  0.0000  0.0000  0.5000  2 O 2.23
U  0.7296  0.7296  0.3997  1 O 2.23
U  0.3443  0.3443  0.1633  6 Se 2.66-2.82
U  0.2704  0.2704  0.6003  1 O 2.23
U  0.6557  0.6557  0.8367  6 Se 2.66-2.82
U  0.0000  0.0000  0.0000  2 O 2.59, 4 Se 2.76-2.80
Se  0.7062  0.2938  0.0000  3 U 2.79-2.80
Se  0.6229  0.0001  0.6341  4 U 2.82-3.15
Se  0.7594  0.7594  0.0709  3 U 2.76-2.86
Se  0.5149  0.5149  0.6598  2 U 2.66-2.90
Se  0.3771  0.9999  0.3659  4 U 2.82-3.15
Se  0.9999  0.3771  0.3659  4 U 2.82-3.15
Se  0.0001  0.6229  0.6341  4 U 2.82-3.15
Se  0.2938  0.7062  0.0000  3 U 2.79-2.80
Se  0.2406  0.2406  0.9291  3 U 2.76-2.86
Se  0.4851  0.4851  0.3402  2 U 2.66-2.90
O  0.0754  0.0754  0.6971  2 U 2.23
O  0.9246  0.9246  0.3029  2 U 2.23

**SG**: C2/m, No. 12
**Energy relative to the elements, uncorrected**: -1160 kJ/mol of formula units
**Crystal system**: monoclinic
**Calculated total energy**: -136.55 eV/cell

***

Record 2
Entry from the Alexandria database: a relaxed USeO6 crystal (GGA-PBE).

a = 5.8690 Å, b = 7.0163 Å, c = 13.5179 Å
α = 75.52°, β = 90.00°, γ = 90.00°
Closest atoms and distances in Å follow each position.
Fractional coordinates of all 32 atoms:
O  0.5420  0.2628  0.4097  1 U 1.79
O  0.2279  0.6520  0.8831  1 Se 1.67
O  0.9901  0.5707  0.7223  1 U 1.85
O  0.3751  0.1882  0.2126  1 Se 1.67
O  0.9580  0.2628  0.9097  1 U 1.79
O  0.0420  0.7372  0.0903  1 U 1.79
O  0.6358  0.9824  0.1095  1 Se 1.66
O  0.4901  0.4293  0.7777  1 U 1.85
O  0.7279  0.3480  0.6169  1 Se 1.67
O  0.7721  0.3480  0.1169  1 Se 1.67
O  0.8642  0.9824  0.6095  1 Se 1.66
O  0.2721  0.6520  0.3831  1 Se 1.67
O  0.3642  0.0176  0.8905  1 Se 1.66
O  0.1358  0.0176  0.3905  1 Se 1.66
O  0.0099  0.4293  0.2777  1 U 1.85
O  0.8954  0.7014  0.4935  1 Se 1.66
O  0.8751  0.8118  0.2874  1 Se 1.67
O  0.4580  0.7372  0.5903  1 U 1.79
O  0.5099  0.5707  0.2223  1 U 1.85
O  0.6249  0.8118  0.7874  1 Se 1.67
O  0.3954  0.2986  0.0065  1 Se 1.66
O  0.1249  0.1882  0.7126  1 Se 1.67
O  0.6046  0.7014  0.9935  1 Se 1.66
O  0.1046  0.2986  0.5065  1 Se 1.66
U  0.2751  0.3357  0.3474  2 O 1.79-1.85
U  0.7249  0.6643  0.6526  2 O 1.79-1.85
U  0.2249  0.3357  0.8474  2 O 1.79-1.85
U  0.7751  0.6643  0.1526  2 O 1.79-1.85
Se  0.0457  0.7943  0.3881  4 O 1.66-1.67
Se  0.9543  0.2057  0.6119  4 O 1.66-1.67
Se  0.5457  0.2057  0.1119  4 O 1.66-1.67
Se  0.4543  0.7943  0.8881  4 O 1.66-1.67

**SG**: P2_1/c, No. 14
**Energy relative to the elements, uncorrected**: -1390 kJ/mol of formula units
**Crystal system**: monoclinic
**Calculated total energy**: -235.71 eV/cell

***

Record 3
Entry from the Alexandria database: a relaxed U2Se3O2 crystal (GGA-PBE).

a = 7.3853 Å, b = 5.6284 Å, c = 12.8506 Å
α = 90.00°, β = 90.00°, γ = 90.00°
Closest atoms and distances in Å follow each position.
Fractional coordinates of all 28 atoms:
U  0.6500  0.7500  0.0000  2 O 2.09
U  0.2624  0.6216  0.7500  2 O 2.42
U  0.3500  0.2500  0.0000  2 O 2.09
U  0.6500  0.7500  0.5000  2 O 2.09
U  0.7376  0.3784  0.2500  2 O 2.42
U  0.7376  0.1216  0.7500  2 O 2.42
U  0.3500  0.2500  0.5000  2 O 2.09
U  0.2624  0.8784  0.2500  2 O 2.42
Se  0.0077  0.6175  0.3834  2 Se 2.82, 3 U 2.94-3.13
Se  0.9923  0.3825  0.8834  2 Se 2.82, 3 U 2.94-3.13
Se  0.9923  0.1175  0.3834  2 Se 2.82, 3 U 2.94-3.13
Se  0.9923  0.1175  0.1166  2 Se 2.82, 3 U 2.94-3.13
Se  0.6562  0.8692  0.2500  3 U 2.83-2.93, 2 O 2.95
Se  0.0077  0.8825  0.8834  2 Se 2.82, 3 U 2.94-3.13
Se  0.3438  0.1308  0.7500  3 U 2.83-2.93, 2 O 2.95
Se  0.3438  0.3692  0.2500  3 U 2.83-2.93, 2 O 2.95
Se  0.0077  0.6175  0.1166  2 Se 2.82, 3 U 2.94-3.13
Se  0.9923  0.3825  0.6166  2 Se 2.82, 3 U 2.94-3.13
Se  0.6562  0.6308  0.7500  3 U 2.83-2.93, 2 O 2.95
Se  0.0077  0.8825  0.6166  2 Se 2.82, 3 U 2.94-3.13
O  0.6056  0.4308  0.4212  1 U 2.09
O  0.6056  0.0692  0.5788  1 U 2.09
O  0.3944  0.5692  0.9212  1 U 2.09
O  0.3944  0.9308  0.4212  1 U 2.09
O  0.3944  0.9308  0.0788  1 U 2.09
O  0.6056  0.0692  0.9212  1 U 2.09
O  0.3944  0.5692  0.5788  1 U 2.09
O  0.6056  0.4308  0.0788  1 U 2.09

**SG**: Pbcm, No. 57
**Energy relative to the elements, uncorrected**: -1217 kJ/mol of formula units
**Crystal system**: orthorhombic
**Calculated total energy**: -222.22 eV/cell

***

Record 4
Entry from the Alexandria database: a relaxed USe2O8 crystal (GGA-PBE).

a = 6.5797 Å, b = 5.8568 Å, c = 5.8568 Å
α = 59.97°, β = 90.04°, γ = 90.04°
Closest atoms and distances in Å follow each position.
Fractional coordinates of all 11 atoms:
O  0.8083  0.1755  0.6461  1 Se 1.72
O  0.8083  0.6461  0.1755  1 Se 1.72
O  0.1917  0.3539  0.8245  1 Se 1.72
O  0.1917  0.8245  0.3539  1 Se 1.72
O  0.5389  0.6664  0.6664  1 Se 1.62
O  0.8058  0.1756  0.1756  1 Se 1.72
O  0.1942  0.8244  0.8244  1 Se 1.72
O  0.4611  0.3336  0.3336  1 Se 1.62
U  0.0000  0.0000  0.0000  6 O 2.19
Se  0.7074  0.3328  0.3328  4 O 1.62-1.72
Se  0.2926  0.6672  0.6672  4 O 1.62-1.72

**SG**: C2/m, No. 12
**Energy relative to the elements, uncorrected**: -1365 kJ/mol of formula units
**Crystal system**: monoclinic
**Calculated total energy**: -72.07 eV/cell

***

Record 5
Entry from the Alexandria database: a relaxed U3Se3O2 crystal (GGA-PBE).

a = 3.7944 Å, b = 6.3929 Å, c = 13.6068 Å
α = 90.00°, β = 90.00°, γ = 107.26°
Closest atoms and distances in Å follow each position.
Fractional coordinates of all 16 atoms:
Se  0.9472  0.8943  0.1132  6 U 3.04-3.12, 2 O 3.24, 1 Se 3.34
Se  0.6446  0.2891  0.2500  4 U 2.79-2.88
Se  0.3554  0.7109  0.7500  4 U 2.79-2.88
Se  0.9472  0.8943  0.3868  6 U 3.04-3.12, 2 O 3.24, 1 Se 3.34
Se  0.0528  0.1057  0.8868  6 U 3.04-3.12, 2 O 3.24, 1 Se 3.34
Se  0.0528  0.1057  0.6132  6 U 3.04-3.12, 2 O 3.24, 1 Se 3.34
U  0.3219  0.6438  0.2500  2 O 2.57, 2 Se 2.88
U  0.6352  0.2704  0.0448  3 O 2.29-2.30
U  0.6352  0.2704  0.4552  3 O 2.29-2.30
U  0.3648  0.7296  0.5448  3 O 2.29-2.30
U  0.6781  0.3562  0.7500  2 O 2.57, 2 Se 2.88
U  0.3648  0.7296  0.9552  3 O 2.29-2.30
O  0.2355  0.4710  0.4224  3 U 2.29-2.30
O  0.2355  0.4710  0.0776  3 U 2.29-2.30
O  0.7645  0.5290  0.9224  3 U 2.29-2.30
O  0.7645  0.5290  0.5776  3 U 2.29-2.30

**SG**: Cmcm, No. 63
**Energy relative to the elements, uncorrected**: -1504 kJ/mol of formula units
**Crystal system**: orthorhombic
**Calculated total energy**: -139.65 eV/cell

***

Record 6
Entry from the Alexandria database: a relaxed U4Se3O4 crystal (GGA-PBE).

a = 3.6370 Å, b = 8.0682 Å, c = 7.6189 Å
α = 112.89°, β = 103.81°, γ = 90.00°
Closest atoms and distances in Å follow each position.
Fractional coordinates of all 11 atoms:
Se  0.8842  0.8973  0.7684  6 U 3.02-3.07, 3 O 3.12-3.24, 1 Se 3.15
Se  0.0000  0.5000  0.0000  6 U 2.86-2.89, 4 O 3.12
Se  0.1158  0.1027  0.2316  6 U 3.02-3.07, 3 O 3.12-3.24, 1 Se 3.15
U  0.4884  0.2182  0.9768  1 O 2.14
U  0.2129  0.6651  0.4258  5 O 2.29-2.36
U  0.7871  0.3349  0.5742  5 O 2.29-2.36
U  0.5116  0.7818  0.0232  1 O 2.14
O  0.3433  0.2148  0.6866  3 U 2.14-2.36
O  0.6745  0.4631  0.3489  3 U 2.29-2.35
O  0.3255  0.5369  0.6511  3 U 2.29-2.35
O  0.6567  0.7852  0.3134  3 U 2.14-2.36

**SG**: C2/m, No. 12
**Energy relative to the elements, uncorrected**: -2346 kJ/mol of formula units
**Crystal system**: monoclinic
**Calculated total energy**: -99.76 eV/cell